DFT (PBE) results for a geometry-optimized CdSnPtAu structure.

## Properties
E_tot: -0.1376 Ha/atom
Magnetic moment: 0.00 μB/f.u.
Formation enthalpy at 0 K: -0.185 eV/atom
Space group: F-43m

Lattice parameters (Å, degrees): 4.795 4.795 4.795 60.00 60.00 60.00
Atoms (fractional coordinates):
Au 0.250 0.250 0.250
Sn 0.000 0.000 0.000
Pt 0.750 0.750 0.750
Cd 0.500 0.500 0.500